(1)
The following is a DFT calculation (PBE) of a relaxed ReNiAu2 crystal.

abc: 2.8296 2.8296 26.8503
angles: 90.00 90.00 120.00
Space group R-3m (No. 166, hexagonal axes)
Unique sites:
Re 0.0000 0.0000 0.0000
Ni 0.0000 0.0000 0.5000
Au 0.0000 0.0000 0.2463

## Properties
Volume: 186 Å³/cell
E_form: 394 meV per atom
Relative energy among the computed polymorphs: 223 meV per atom

***

(2)
The following is a DFT calculation (PBE) of a relaxed SrHfCuBr2 crystal.

abc: 5.688 5.688 5.924
angles: 90.00 90.00 90.00
Space group P4/mmm (No. 123)
Unique sites:
Sr 0.000 0.000 0.000
Hf 0.500 0.500 0.500
Cu 0.000 0.000 0.500
Br 0.000 0.500 0.000

## Properties
Volume: 192 Å³/cell
Relative energy among the computed polymorphs: 390 meV per atom

***

(3)
The following is a DFT calculation (PBE) of a relaxed TbYCdOs crystal.

abc: 7.116 7.116 7.116
angles: 90.00 90.00 90.00
Space group F-43m (No. 216)
Unique sites:
Tb 0.000 0.000 0.000
Y 0.000 0.000 0.500
Cd 0.250 0.250 0.750
Os 0.250 0.250 0.250

## Properties
Volume: 360 Å³/cell
E_form: -200 meV per atom
Relative energy among the computed polymorphs: 90 meV per atom

***

(4)
The following is a DFT calculation (PBE) of a relaxed AlCo2Si crystal.

abc: 2.809 2.809 5.677
angles: 90.00 90.00 90.00
Space group P4/mmm (No. 123)
Unique sites:
Al 0.000 0.000 0.000
Co 0.500 0.500 0.267
Si 0.000 0.000 0.500

## Properties
Volume: 45 Å³/cell
Electronic total energy: -25.68 eV per cell

***

(5)
The following is a DFT calculation (PBE) of a relaxed Ag2TeP crystal.

abc: 3.1044 3.1044 30.2640
angles: 90.00 90.00 120.00
Space group R3m (No. 160, hexagonal axes)
Unique sites:
Ag 0.0000 0.0000 0.0000
Ag 0.0000 0.0000 0.2574
Te 0.0000 0.0000 0.5043
P 0.0000 0.0000 0.7298

## Properties
Volume: 253 Å³/cell
Relative energy among the computed polymorphs: 201 meV per atom

***

(6)
The following is a DFT calculation (PBE) of a relaxed ScMnN2 crystal.

abc: 5.240 5.240 5.240
angles: 90.00 90.00 90.00
Space group Fm-3m (No. 225)
Unique sites:
Sc 0.000 0.000 0.000
Mn 0.000 0.000 0.500
N 0.250 0.250 0.250

## Properties
Volume: 144 Å³/cell
Electronic total energy: -133.49 eV per cell